No. 1
Entry from the Alexandria database: a relaxed HfMgCrPd2 crystal (PBE).

Summary:
VASP energy ... -5.617 eV/atom
N(E_F) ... 0.54 states/eV/atom

Unit cell a=4.886 b=4.843 c=4.886 alpha=90.00 beta=90.00 gamma=90.00
Last column: magnetic moment on the atom in μB.
Element x y z (fractional)
Cr (0.000, 0.500, 0.000)  3.08
Pd (0.000, 0.000, 0.500)  0.01
Mg (0.500, 0.500, 0.500)  -0.01
Pd (0.500, 0.000, 0.000)  0.00
Hf (0.000, 0.000, 0.000)  -0.12

***

No. 2
Entry from the Alexandria database: a relaxed TlIn2SnBi crystal (PBE).

Summary:
VASP energy ... -3.107 eV/atom
N(E_F) ... 0.43 states/eV/atom

Unit cell a=4.837 b=6.824 c=10.655 alpha=113.50 beta=90.00 gamma=90.00
Element x y z (fractional)
In (0.250, 0.452, 0.354)
Bi (0.250, 0.226, 0.563)
Tl (0.750, 0.113, 0.772)
In (0.750, 0.548, 0.646)
Tl (0.250, 0.887, 0.228)
In (0.250, 0.505, 0.885)
In (0.750, 0.495, 0.115)
Sn (0.250, 0.174, 0.035)
Sn (0.750, 0.826, 0.965)
Bi (0.750, 0.774, 0.437)

***

No. 3
Entry from the Alexandria database: a relaxed Cs2SiAgBr crystal (PBE).

Summary:
N(E_F) ... 0.55 states/eV/atom
Formation energy without anion corrections ... -0.35 eV/atom

Unit cell a=6.978 b=4.734 c=6.978 alpha=90.00 beta=90.00 gamma=90.00
Last column: magnetic moment on the atom in μB.
Element x y z (fractional)
Br (0.500, 0.500, 0.500)  0.00
Cs (0.000, 0.000, 0.500)  0.02
Cs (0.500, 0.000, 0.000)  0.02
Ag (0.000, 0.500, 0.000)  0.03
Si (0.000, 0.000, 0.000)  0.15

***

No. 4
Entry from the Alexandria database: a relaxed Cs2ZnAgP2 crystal (PBE).

Summary:
VASP energy ... -2.985 eV/atom
N(E_F) ... 0.79 states/eV/atom

Unit cell a=6.302 b=6.232 c=10.041 alpha=108.08 beta=108.29 gamma=90.00
Element x y z (fractional)
P (0.344, 0.573, 0.147)
Zn (0.500, 0.250, 0.000)
P (0.198, 0.927, 0.853)
Ag (0.000, 0.750, 0.000)
Cs (0.079, 0.337, 0.675)
P (0.656, 0.427, 0.853)
Ag (0.000, 0.250, 0.000)
Zn (0.500, 0.750, 0.000)
P (0.802, 0.073, 0.147)
Cs (0.404, 0.163, 0.325)
Cs (0.921, 0.663, 0.325)
Cs (0.596, 0.837, 0.675)